# ZnAg2F5 (PBE, relaxed)
data_ZnAg2F5
_chemical_formula_sum 'Zn2 Ag4 F10'
_symmetry_space_group_name_H-M 'P 1'
_symmetry_Int_Tables_number 1
_cell_length_a 6.0060
_cell_length_b 6.0060
_cell_length_c 10.7681
_cell_angle_alpha 90.00
_cell_angle_beta 90.00
_cell_angle_gamma 137.16
loop_
_symmetry_equiv_pos_as_xyz
'x,y,z'
loop_
_atom_site_label
_atom_site_type_symbol
_atom_site_fract_x
_atom_site_fract_y
_atom_site_fract_z
Zn1 Zn 0.1901 0.8099 0.7500
Zn2 Zn 0.8099 0.1901 0.2500
Ag1 Ag 0.1442 0.8558 0.0813
Ag2 Ag 0.1442 0.8558 0.4187
Ag3 Ag 0.8558 0.1442 0.5813
Ag4 Ag 0.8558 0.1442 0.9187
F1 F 0.0721 0.9279 0.6147
F2 F 0.0721 0.9279 0.8853
F3 F 0.2711 0.7289 0.2500
F4 F 0.3222 0.6778 0.6099
F5 F 0.3222 0.6778 0.8901
F6 F 0.6778 0.3222 0.1099
F7 F 0.6778 0.3222 0.3901
F8 F 0.7289 0.2711 0.7500
F9 F 0.9279 0.0721 0.1147
F10 F 0.9279 0.0721 0.3853
# Space-group type: No. 63
# VASP energy, eV for the cell shown: -56.82
# Formation energy from raw total energies, eV per atom: -1.51
# Volume, Å³/atom: 16.51
# Crystal system: orthorhombic



# Nd3Y6Sc2 (PBE, relaxed)
data_Nd3Y6Sc2
_chemical_formula_sum 'Nd3 Y6 Sc2'
_symmetry_space_group_name_H-M 'P 1'
_symmetry_Int_Tables_number 1
_cell_length_a 31.6360
_cell_length_b 31.6360
_cell_length_c 31.6360
_cell_angle_alpha 6.45
_cell_angle_beta 6.45
_cell_angle_gamma 6.45
loop_
_symmetry_equiv_pos_as_xyz
'x,y,z'
loop_
_atom_site_label
_atom_site_type_symbol
_atom_site_fract_x
_atom_site_fract_y
_atom_site_fract_z
Nd1 Nd 0.0000 0.0000 0.0000
Nd2 Nd 0.2709 0.2709 0.2709
Nd3 Nd 0.7291 0.7291 0.7291
Y1 Y 0.0941 0.0941 0.0941
Y2 Y 0.1823 0.1823 0.1823
Y3 Y 0.3646 0.3646 0.3646
Y4 Y 0.6354 0.6354 0.6354
Y5 Y 0.8177 0.8177 0.8177
Y6 Y 0.9059 0.9059 0.9059
Sc1 Sc 0.4559 0.4559 0.4559
Sc2 Sc 0.5441 0.5441 0.5441
# Space-group type: No. 166
# ΔE_f, eV per atom: 0.04
# VASP energy, eV for the cell shown: -65.28
# Volume, Å³/atom: 31.50
# Crystal system: trigonal



# AlReP2S (PBE, relaxed)
data_AlReP2S
_chemical_formula_sum 'Al1 Re1 P2 S1'
_symmetry_space_group_name_H-M 'P 1'
_symmetry_Int_Tables_number 1
_cell_length_a 4.5062
_cell_length_b 4.5062
_cell_length_c 5.2240
_cell_angle_alpha 90.00
_cell_angle_beta 90.00
_cell_angle_gamma 90.00
loop_
_symmetry_equiv_pos_as_xyz
'x,y,z'
loop_
_atom_site_label
_atom_site_type_symbol
_atom_site_fract_x
_atom_site_fract_y
_atom_site_fract_z
Al1 Al 0.0000 0.0000 0.0000
Re1 Re 0.5000 0.5000 0.5000
P1 P 0.0000 0.5000 0.5000
P2 P 0.5000 0.0000 0.5000
S1 S 0.5000 0.5000 0.0000
# Space-group type: No. 123
# VASP energy, eV for the cell shown: -28.37
# Formation energy from raw total energies, eV per atom: 0.55
# Volume, Å³/atom: 21.22
# Crystal system: tetragonal



# YThMg2Au4 (PBE, relaxed)
data_YThMg2Au4
_chemical_formula_sum 'Y1 Th1 Mg2 Au4'
_symmetry_space_group_name_H-M 'P 1'
_symmetry_Int_Tables_number 1
_cell_length_a 8.8834
_cell_length_b 8.8834
_cell_length_c 8.8834
_cell_angle_alpha 32.01
_cell_angle_beta 32.01
_cell_angle_gamma 32.01
loop_
_symmetry_equiv_pos_as_xyz
'x,y,z'
loop_
_atom_site_label
_atom_site_type_symbol
_atom_site_fract_x
_atom_site_fract_y
_atom_site_fract_z
Y1 Y 0.0000 0.0000 0.0000
Th1 Th 0.5000 0.5000 0.5000
Mg1 Mg 0.2540 0.2540 0.2540
Mg2 Mg 0.7460 0.7460 0.7460
Au1 Au 0.1180 0.1180 0.1180
Au2 Au 0.3772 0.3772 0.3772
Au3 Au 0.6228 0.6228 0.6228
Au4 Au 0.8820 0.8820 0.8820
# Space-group type: No. 166
# ΔE_f, eV per atom: -0.73
# VASP energy, eV for the cell shown: -35.98
# Volume, Å³/atom: 21.87
# Crystal system: trigonal



# KCr2TeRu (PBE, relaxed)
data_KCr2TeRu
_chemical_formula_sum 'K1 Cr2 Te1 Ru1'
_symmetry_space_group_name_H-M 'P 1'
_symmetry_Int_Tables_number 1
_cell_length_a 5.2246
_cell_length_b 5.2246
_cell_length_c 6.1932
_cell_angle_alpha 90.00
_cell_angle_beta 90.00
_cell_angle_gamma 90.00
loop_
_symmetry_equiv_pos_as_xyz
'x,y,z'
loop_
_atom_site_label
_atom_site_type_symbol
_atom_site_fract_x
_atom_site_fract_y
_atom_site_fract_z
K1 K 0.0000 0.0000 0.0000
Cr1 Cr 0.0000 0.5000 0.5000
Cr2 Cr 0.5000 0.0000 0.5000
Te1 Te 0.0000 0.0000 0.5000
Ru1 Ru 0.5000 0.5000 0.0000
# Space-group type: No. 123
# VASP energy, eV for the cell shown: -25.17
# Formation energy from raw total energies, eV per atom: 1.52
# Volume, Å³/atom: 33.81
# Crystal system: tetragonal



# YMg2Hg (PBE, relaxed)
data_YMg2Hg
_chemical_formula_sum 'Y1 Mg2 Hg1'
_symmetry_space_group_name_H-M 'P 1'
_symmetry_Int_Tables_number 1
_cell_length_a 5.1016
_cell_length_b 5.0961
_cell_length_c 5.0882
_cell_angle_alpha 60.12
_cell_angle_beta 60.02
_cell_angle_gamma 59.86
loop_
_symmetry_equiv_pos_as_xyz
'x,y,z'
loop_
_atom_site_label
_atom_site_type_symbol
_atom_site_fract_x
_atom_site_fract_y
_atom_site_fract_z
Y1 Y 0.0000 0.0000 0.0000
Mg1 Mg 0.2500 0.2500 0.2500
Mg2 Mg 0.5000 0.5000 0.5000
Hg1 Hg 0.7500 0.7500 0.7500
# Space-group type: No. 22
# ΔE_f, eV per atom: -0.28
# VASP energy, eV for the cell shown: -11.07
# Volume, Å³/atom: 23.38
# Crystal system: orthorhombic



# SrLiNF2 (PBE, relaxed)
data_SrLiNF2
_chemical_formula_sum 'Sr1 Li1 N1 F2'
_symmetry_space_group_name_H-M 'P 1'
_symmetry_Int_Tables_number 1
_cell_length_a 3.8916
_cell_length_b 3.8916
_cell_length_c 4.1630
_cell_angle_alpha 90.00
_cell_angle_beta 90.00
_cell_angle_gamma 90.00
loop_
_symmetry_equiv_pos_as_xyz
'x,y,z'
loop_
_atom_site_label
_atom_site_type_symbol
_atom_site_fract_x
_atom_site_fract_y
_atom_site_fract_z
Sr1 Sr 0.0000 0.0000 0.0000
Li1 Li 0.5000 0.5000 0.5000
N1 N 0.5000 0.5000 0.0000
F1 F 0.0000 0.5000 0.5000
F2 F 0.5000 0.0000 0.5000
# Space-group type: No. 123
# VASP energy, eV for the cell shown: -24.49
# Formation energy from raw total energies, eV per atom: -1.77
# Volume, Å³/atom: 12.61
# Crystal system: tetragonal



# HgP (PBE, relaxed)
data_HgP
_chemical_formula_sum 'Hg2 P2'
_symmetry_space_group_name_H-M 'P 1'
_symmetry_Int_Tables_number 1
_cell_length_a 4.8627
_cell_length_b 4.8627
_cell_length_c 4.8627
_cell_angle_alpha 60.00
_cell_angle_beta 60.00
_cell_angle_gamma 60.00
loop_
_symmetry_equiv_pos_as_xyz
'x,y,z'
loop_
_atom_site_label
_atom_site_type_symbol
_atom_site_fract_x
_atom_site_fract_y
_atom_site_fract_z
Hg1 Hg 0.1250 0.1250 0.1250
Hg2 Hg 0.8750 0.8750 0.8750
P1 P 0.3750 0.3750 0.3750
P2 P 0.6250 0.6250 0.6250
# Space-group type: No. 227
# ΔE_f, eV per atom: 0.74
# VASP energy, eV for the cell shown: -8.45
# Volume, Å³/atom: 20.33
# Crystal system: cubic



What is the formula in the eighth record? HgP



volume of number 8 (HgP)? 20.33 Å³/atom